No. 1
Crystalline BaSb2Br at its relaxed geometry. Source: the Alexandria database, functional GGA-PBE.

a b c (Å): 3.7838 3.7838 31.5700
angles (deg): 90.00 90.00 120.00
Space group R-3m (No. 166, hexagonal axes)
Symmetry-distinct sites (fractional):
Ba 0.0000 0.0000 0.0000 (multiplicity 3)
Sb 0.0000 0.0000 0.2426 (multiplicity 6)
Br 0.0000 0.0000 0.5000 (multiplicity 3)

Values from the calculation:
Crystal system ... trigonal
Formation energy (no corrections) ... 46.4 meV/atom
Size of the total moment ... 0.0 μB/f.u.

No. 2
Crystalline Ca2OsAu at its relaxed geometry. Source: the Alexandria database, functional GGA-PBE.

a b c (Å): 3.2541 3.4543 7.7661
angles (deg): 90.00 90.00 90.00
Space group Pmmm (No. 47)
Symmetry-distinct sites (fractional):
Ca 0.0000 0.0000 0.2315 (multiplicity 2)
Os 0.5000 0.5000 0.0000 (multiplicity 1)
Au 0.5000 0.5000 0.5000 (multiplicity 1)

Values from the calculation:
Crystal system ... orthorhombic
Energy of formation ... 0.024 eV per atom
Size of the total moment ... 0.0 μB/f.u.

No. 3
Crystalline RbFeSe2 at its relaxed geometry. Source: the Alexandria database, functional GGA-PBE.

a b c (Å): 7.2520 7.2520 7.2520
angles (deg): 90.00 90.00 90.00
Space group Fm-3m (No. 225)
Symmetry-distinct sites (fractional):
Rb 0.0000 0.0000 0.0000 (multiplicity 4)
Fe 0.0000 0.0000 0.5000 (multiplicity 4)
Se 0.2500 0.2500 0.2500 (multiplicity 8)

Values from the calculation:
Crystal system ... cubic
Formation energy (no corrections) ... 255.0 meV/atom
Size of the total moment ... 4.5 μB/f.u.

No. 4
Crystalline Li2GaPb2 at its relaxed geometry. Source: the Alexandria database, functional GGA-PBE.

a b c (Å): 7.0770 7.0770 4.3922
angles (deg): 90.00 90.00 90.00
Space group P4/mbm (No. 127)
Symmetry-distinct sites (fractional):
Li 0.1390 0.3610 0.0000 (multiplicity 4)
Ga 0.0000 0.0000 0.0000 (multiplicity 2)
Pb 0.1698 0.6698 0.5000 (multiplicity 4)

Values from the calculation:
Crystal system ... tetragonal
Energy of formation ... -0.147 eV per atom
Size of the total moment ... 0.0 μB/f.u.

No. 5
Crystalline ScCuIrPt at its relaxed geometry. Source: the Alexandria database, functional GGA-PBE.

a b c (Å): 6.2723 6.2723 6.2723
angles (deg): 90.00 90.00 90.00
Space group F-43m (No. 216)
Symmetry-distinct sites (fractional):
Sc 0.0000 0.0000 0.0000 (multiplicity 4)
Cu 0.0000 0.0000 0.5000 (multiplicity 4)
Ir 0.2500 0.2500 0.2500 (multiplicity 4)
Pt 0.2500 0.2500 0.7500 (multiplicity 4)

Values from the calculation:
Crystal system ... cubic
Energy of formation ... -0.549 eV per atom
Size of the total moment ... 0.0 μB/f.u.

No. 6
Crystalline Sc3Tc at its relaxed geometry. Source: the Alexandria database, functional GGA-PBE.

a b c (Å): 3.7507 4.4663 4.8058
angles (deg): 90.00 90.00 90.00
Space group Pmm2 (No. 25)
Symmetry-distinct sites (fractional):
Sc 0.0000 0.0000 0.0000 (multiplicity 1)
Sc 0.0000 0.5000 0.4682 (multiplicity 1)
Sc 0.5000 0.5000 0.9343 (multiplicity 1)
Tc 0.5000 0.0000 0.5437 (multiplicity 1)

Values from the calculation:
Crystal system ... orthorhombic
Energy of formation ... 0.011 eV per atom
Size of the total moment ... 0.0 μB/f.u.

No. 7
Crystalline CaCrAu3 at its relaxed geometry. Source: the Alexandria database, functional GGA-PBE.

a b c (Å): 4.8932 4.8932 4.8932
angles (deg): 90.00 90.00 90.00
Space group Pm-3m (No. 221)
Symmetry-distinct sites (fractional):
Ca 0.0000 0.0000 0.0000 (multiplicity 1)
Cr 0.5000 0.5000 0.5000 (multiplicity 1)
Au 0.0000 0.5000 0.5000 (multiplicity 3)

Values from the calculation:
Crystal system ... cubic
Energy of formation ... 0.229 eV per atom
Size of the total moment ... 0.0 μB/f.u.

No. 8
Crystalline SrNiW2S8 at its relaxed geometry. Source: the Alexandria database, functional GGA-PBE.

a b c (Å): 6.0226 6.0226 26.2854
angles (deg): 90.00 90.00 120.00
Space group R-3 (No. 148, hexagonal axes)
Symmetry-distinct sites (fractional):
Sr 0.0000 0.0000 0.0000 (multiplicity 3)
Ni 0.0000 0.0000 0.5000 (multiplicity 3)
W 0.0000 0.0000 0.2468 (multiplicity 6)
S 0.0000 0.0000 0.3309 (multiplicity 6)
S 0.0078 0.6545 0.2212 (multiplicity 18)

Values from the calculation:
Crystal system ... trigonal
Formation energy (no corrections) ... -571.1 meV/atom
Size of the total moment ... 2.0 μB/f.u.

Q: What is the formula in the eighth record?
A: SrNiW2S8